# 1
TlSiCl2 after structural relaxation. Source: Alexandria via LeMat-Bulk, functional PBE.

```
TlSiCl2
1.0
3.327 0.000 0.000
0.000 4.563 0.000
0.000 0.000 14.079
Tl Si Cl
2 2 4
direct
0.000 0.000 0.000
0.500 0.500 0.500
0.000 0.500 0.299
0.500 0.000 0.799
0.000 0.000 0.659
0.000 0.500 0.837
0.500 0.000 0.337
0.500 0.500 0.159
```

formation energy without anion corrections: -0.196 eV per atom
energy above the lowest structure with this stoichiometry: 0.170 eV per atom
ρ: 4.71 Mg/m³
magnetization: 0.00 μB per formula unit
crystal system: orthorhombic

---

# 2
TlSiCl2 after structural relaxation. Source: Alexandria via LeMat-Bulk, functional PBE.

```
TlSiCl2
1.0
3.493 0.000 0.000
-1.746 3.025 0.000
0.000 0.000 30.915
Tl Si Cl
3 3 6
direct
0.000 0.000 0.000
0.333 0.667 0.667
0.667 0.333 0.333
0.000 0.000 0.772
0.333 0.667 0.439
0.667 0.333 0.105
0.000 0.000 0.270
0.000 0.000 0.493
0.333 0.667 0.160
0.333 0.667 0.937
0.667 0.333 0.604
0.667 0.333 0.826
```

formation energy without anion corrections: -0.102 eV per atom
energy above the lowest structure with this stoichiometry: 0.265 eV per atom
ρ: 4.63 Mg/m³
magnetization: 0.00 μB per formula unit
crystal system: trigonal

---

# 3
TlSi2Cl after structural relaxation. Source: Alexandria via LeMat-Bulk, functional PBE.

```
TlSi2Cl
1.0
3.964 0.000 0.000
0.000 5.546 0.000
0.000 0.000 8.475
Tl Si Cl
2 4 2
direct
0.000 0.000 0.000
0.500 0.500 0.000
0.000 0.000 0.532
0.000 0.500 0.683
0.500 0.000 0.683
0.500 0.500 0.532
0.000 0.500 0.254
0.500 0.000 0.254
```

formation energy without anion corrections: 0.206 eV per atom
energy above the lowest structure with this stoichiometry: 0.313 eV per atom
ρ: 5.28 Mg/m³
magnetization: 0.00 μB per formula unit
crystal system: orthorhombic

---

# 4
TlSiCl2 after structural relaxation. Source: Alexandria via LeMat-Bulk, functional PBE.

```
TlSiCl2
1.0
4.156 0.000 0.000
0.000 4.156 0.000
0.000 0.000 12.808
Tl Si Cl
2 2 4
direct
0.000 0.000 0.000
0.500 0.500 0.500
0.000 0.500 0.250
0.500 0.000 0.750
0.000 0.000 0.500
0.000 0.500 0.750
0.500 0.000 0.250
0.500 0.500 0.000
```

formation energy without anion corrections: -0.047 eV per atom
energy above the lowest structure with this stoichiometry: 0.319 eV per atom
ρ: 4.55 Mg/m³
magnetization: 0.88 μB per formula unit
crystal system: tetragonal

---

# 5
TlSiCl4 after structural relaxation. Source: Alexandria via LeMat-Bulk, functional PBE.

```
TlSiCl4
1.0
0.000 4.264 4.264
4.264 0.000 4.264
4.264 4.264 0.000
Tl Si Cl
1 1 4
direct
0.000 0.000 0.000
0.250 0.250 0.250
0.125 0.625 0.625
0.625 0.125 0.625
0.625 0.625 0.125
0.625 0.625 0.625
```

formation energy without anion corrections: 0.443 eV per atom
ρ: 4.01 Mg/m³
magnetization: 1.02 μB per formula unit
crystal system: cubic

---

# 6
Tl2SiCl after structural relaxation. Source: Alexandria via LeMat-Bulk, functional PBE.

```
Tl2SiCl
1.0
3.473 0.000 0.000
0.000 4.982 0.000
0.000 0.000 12.665
Tl Si Cl
4 2 2
direct
0.000 0.000 0.000
0.000 0.500 0.257
0.500 0.000 0.757
0.500 0.500 0.500
0.000 0.000 0.549
0.500 0.500 0.049
0.000 0.500 0.727
0.500 0.000 0.227
```

formation energy without anion corrections: 0.080 eV per atom
energy above the lowest structure with this stoichiometry: 0.145 eV per atom
ρ: 7.16 Mg/m³
magnetization: 0.00 μB per formula unit
crystal system: orthorhombic

---

# 7
TlSiCl after structural relaxation. Source: Alexandria via LeMat-Bulk, functional PBE.

```
TlSiCl
1.0
3.592 0.000 0.000
0.000 3.592 0.000
0.000 0.000 11.451
Tl Si Cl
2 2 2
direct
0.000 0.000 0.000
0.500 0.500 0.500
0.000 0.000 0.645
0.500 0.500 0.145
0.000 0.000 0.282
0.500 0.500 0.782
```

formation energy without anion corrections: 0.255 eV per atom
energy above the lowest structure with this stoichiometry: 0.326 eV per atom
ρ: 6.02 Mg/m³
magnetization: 0.00 μB per formula unit
crystal system: tetragonal

---

# 8
Tl2SiCl after structural relaxation. Source: Alexandria via LeMat-Bulk, functional PBE.

```
Tl2SiCl
1.0
7.926 0.000 0.000
0.000 7.894 0.000
-0.841 0.000 3.335
Tl Si Cl
4 2 2
direct
0.250 0.250 0.000
0.250 0.750 0.000
0.750 0.250 0.000
0.750 0.750 0.000
0.000 0.000 0.500
0.500 0.500 0.500
0.000 0.500 0.500
0.500 0.000 0.500
```

formation energy without anion corrections: -0.025 eV per atom
energy above the lowest structure with this stoichiometry: 0.040 eV per atom
ρ: 7.52 Mg/m³
magnetization: 0.00 μB per formula unit
crystal system: monoclinic